Material: Na2MgScSb
Method: DFT, meta-GGA SCAN
State: single point on PBEsol structure

abc: 5.0973 5.0973 5.6284
angles: 90.00 90.00 90.00
Closest atoms and distances in Å follow each position.
Space group P4/mmm (No. 123)
Symmetry-distinct sites (fractional):
Na 0.0000 0.5000 0.0000 [2 per cell]  2 Mg 2.55
Mg 0.0000 0.0000 0.0000 [1 per cell]  4 Na 2.55, 2 Sc 2.81
Sc 0.0000 0.0000 0.5000 [1 per cell]  2 Mg 2.81
Sb 0.5000 0.5000 0.5000 [1 per cell]  4 Sc 3.60, 8 Na 3.80

Raw formation energy (meV per atom): 484.9
Crystal system: tetragonal
E (eV/cell): -62.5

---

Material: NaMgSb2Te
Method: DFT, meta-GGA SCAN
State: single point on PBEsol structure

abc: 5.3512 5.3512 5.6075
angles: 90.00 90.00 90.00
Closest atoms and distances in Å follow each position.
Space group P4/mmm (No. 123)
Symmetry-distinct sites (fractional):
Na 0.0000 0.0000 0.0000 [1 per cell]  4 Te 3.78, 8 Sb 3.88
Mg 0.5000 0.5000 0.5000 [1 per cell]  4 Sb 2.68, 2 Te 2.80
Sb 0.0000 0.5000 0.5000 [2 per cell]  2 Mg 2.68
Te 0.5000 0.5000 0.0000 [1 per cell]  2 Mg 2.80

Raw formation energy (meV per atom): 129.0
Crystal system: tetragonal
E (eV/cell): -120.3

---

Material: Na2MgTlSb
Method: DFT, meta-GGA SCAN
State: single point on PBEsol structure

abc: 5.8977 5.8977 5.4299
angles: 90.00 90.00 90.00
Closest atoms and distances in Å follow each position.
Space group P4/mmm (No. 123)
Symmetry-distinct sites (fractional):
Na 0.0000 0.5000 0.0000 [2 per cell]  2 Tl 2.95
Mg 0.0000 0.0000 0.5000 [1 per cell]  8 Na 4.01, 4 Sb 4.17
Tl 0.5000 0.5000 0.0000 [1 per cell]  2 Sb 2.71, 4 Na 2.95
Sb 0.5000 0.5000 0.5000 [1 per cell]  2 Tl 2.71

Raw formation energy (meV per atom): 287.0
Crystal system: tetragonal
E (eV/cell): -121.6

---

Material: NaMgScSn2
Method: DFT, meta-GGA SCAN
State: single point on PBEsol structure

abc: 5.4470 5.4470 5.6555
angles: 90.00 90.00 90.00
Closest atoms and distances in Å follow each position.
Space group P4/mmm (No. 123)
Symmetry-distinct sites (fractional):
Na 0.0000 0.0000 0.0000 [1 per cell]  4 Mg 3.85, 8 Sn 3.93
Mg 0.5000 0.5000 0.0000 [1 per cell]  2 Sc 2.83
Sc 0.5000 0.5000 0.5000 [1 per cell]  4 Sn 2.72, 2 Mg 2.83
Sn 0.0000 0.5000 0.5000 [2 per cell]  2 Sc 2.72

Crystal system: tetragonal
E (eV/cell): -94.2

---

Material: NaMgSe3
Method: DFT, meta-GGA SCAN
State: single point on PBEsol structure

abc: 5.0601 5.0601 5.0601
angles: 90.00 90.00 90.00
Closest atoms and distances in Å follow each position.
Space group Pm-3m (No. 221)
Symmetry-distinct sites (fractional):
Na 0.0000 0.0000 0.0000 [1 per cell]  12 Se 3.58
Mg 0.5000 0.5000 0.5000 [1 per cell]  6 Se 2.53
Se 0.0000 0.5000 0.5000 [3 per cell]  2 Mg 2.53

Raw formation energy (meV per atom): -386.0
Crystal system: cubic
E (eV/cell): -71.4

---

Material: Na2MgSn2
Method: DFT, meta-GGA SCAN
State: single point on PBEsol structure

abc: 7.5004 7.5004 4.9344
angles: 90.00 90.00 90.00
Closest atoms and distances in Å follow each position.
Space group P4/mbm (No. 127)
Symmetry-distinct sites (fractional):
Na 0.1658 0.3342 0.0000 [4 per cell]  6 Sn 3.24-3.36, 1 Na 3.52
Mg 0.0000 0.0000 0.5000 [2 per cell]  4 Sn 2.91
Sn 0.1361 0.6361 0.5000 [4 per cell]  1 Sn 2.89, 2 Mg 2.91

Crystal system: tetragonal
E (eV/cell): -172.2

---

Material: NaSrMg3
Method: DFT, meta-GGA SCAN
State: single point on PBEsol structure

abc: 6.3524 6.3524 6.3524
angles: 90.00 90.00 90.00
Closest atoms and distances in Å follow each position.
Space group Pm-3m (No. 221)
Symmetry-distinct sites (fractional):
Na 0.0000 0.0000 0.0000 [1 per cell]  12 Mg 4.49
Sr 0.5000 0.5000 0.5000 [1 per cell]  6 Mg 3.18
Mg 0.0000 0.5000 0.5000 [3 per cell]  2 Sr 3.18

Crystal system: cubic
E (eV/cell): -37.2

---

Material: NaMg2Tc
Method: DFT, meta-GGA SCAN
State: single point on PBEsol structure

abc: 4.1565 4.1565 19.0946
angles: 90.00 90.00 90.00
Closest atoms and distances in Å follow each position.
Space group I-42d (No. 122)
Symmetry-distinct sites (fractional):
Na 0.0000 0.0000 0.0000 [4 per cell]  4 Mg 2.84, 4 Tc 2.94
Mg 0.2252 0.2500 0.6250 [8 per cell]  2 Tc 2.77, 4 Mg 2.80-3.09, 2 Na 2.84
Tc 0.0000 0.0000 0.5000 [4 per cell]  4 Mg 2.77, 4 Na 2.94

Crystal system: tetragonal
E (eV/cell): -181.2

---

Material: Na2MgTlTe
Method: DFT, meta-GGA SCAN
State: single point on PBEsol structure

abc: 5.7384 5.7384 5.4820
angles: 90.00 90.00 90.00
Closest atoms and distances in Å follow each position.
Space group P4/mmm (No. 123)
Symmetry-distinct sites (fractional):
Na 0.0000 0.5000 0.0000 [2 per cell]  2 Mg 2.87
Mg 0.0000 0.0000 0.0000 [1 per cell]  2 Te 2.74, 4 Na 2.87
Tl 0.5000 0.5000 0.5000 [1 per cell]  8 Na 3.97, 4 Te 4.06
Te 0.0000 0.0000 0.5000 [1 per cell]  2 Mg 2.74

Raw formation energy (meV per atom): 53.4
Crystal system: tetragonal
E (eV/cell): -122.7

---

Material: NaMgZn2
Method: DFT, meta-GGA SCAN
State: single point on PBEsol structure

abc: 6.7259 6.7259 6.7259
angles: 90.00 90.00 90.00
Closest atoms and distances in Å follow each position.
Space group Fm-3m (No. 225)
Symmetry-distinct sites (fractional):
Na 0.0000 0.0000 0.0000 [4 per cell]  8 Zn 2.91
Mg 0.0000 0.0000 0.5000 [4 per cell]  8 Zn 2.91
Zn 0.2500 0.2500 0.2500 [8 per cell]  4 Na 2.91, 4 Mg 2.91

Crystal system: cubic
E (eV/cell): -144.4

---

Material: Mg3Nb6O11
Method: DFT, meta-GGA SCAN
State: single point on PBEsol structure

abc: 6.0549 6.0549 7.4965
angles: 90.00 90.00 120.00
Closest atoms and distances in Å follow each position.
Space group P-3m1 (No. 164)
Symmetry-distinct sites (fractional):
Mg 0.0000 0.0000 0.0000 [1 per cell]  6 O 2.09
Mg 0.3333 0.6667 0.0761 [2 per cell]  4 O 1.97-2.00
Nb 0.1549 0.3097 0.6529 [6 per cell]  5 O 2.09-2.22
O 0.0000 0.5000 0.5000 [3 per cell]  4 Nb 2.14
O 0.1561 0.3122 0.1733 [6 per cell]  2 Mg 2.00-2.09, 2 Nb 2.09
O 0.3333 0.6667 0.8132 [2 per cell]  1 Mg 1.97

Raw formation energy (meV per atom): -2624.5
Crystal system: trigonal
E (eV/cell): -334.7

---

Material: MgNb2O6
Method: DFT, meta-GGA SCAN
State: single point on PBEsol structure

abc: 14.2987 5.7365 5.0446
angles: 90.00 90.00 90.00
Closest atoms and distances in Å follow each position.
Space group Pbcn (No. 60)
Symmetry-distinct sites (fractional):
Mg 0.0000 0.1654 0.2500 [4 per cell]  6 O 2.07-2.12
Nb 0.1598 0.3159 0.7487 [8 per cell]  3 O 1.83-1.97
O 0.0788 0.1136 0.5897 [8 per cell]  1 Nb 1.83
O 0.0956 0.3946 0.0748 [8 per cell]  2 Nb 1.94-2.09, 1 Mg 2.09
O 0.2441 0.3770 0.4212 [8 per cell]  2 Nb 1.97-2.08

Raw formation energy (meV per atom): -2881.4
Crystal system: orthorhombic
E (eV/cell): -538.2